(1)
Compound: Cs2ZnI6N
Source: the Alexandria database
Functional: PBE
Structure: optimized geometry

Summary:
ΔE_f (raw): -3.12 eV/f.u.
DFT total energy: -47.447 eV per cell

Cell lengths 8.169, 8.169, 12.106 Å; angles 90.00, 90.00, 90.00 degrees
Space group I4/mmm (No. 139)
Symmetry-distinct sites (fractional):
Cs: 0.000 0.500 0.250 (multiplicity 4)
Zn: 0.000 0.000 0.000 (multiplicity 2)
I: 0.000 0.000 0.209 (multiplicity 4)
I: 0.219 0.219 0.500 (multiplicity 8)
N: 0.000 0.000 0.500 (multiplicity 2)

=====

(2)
Compound: Zn12Bi
Source: the Alexandria database
Functional: PBE
Structure: optimized geometry

Summary:
Energy relative to the elements: 0.073 eV/atom
DFT total energy: -36.452 eV per cell

Cell lengths 8.935, 8.935, 5.435 Å; angles 90.00, 90.00, 90.00 degrees
Space group I4/mmm (No. 139)
Symmetry-distinct sites (fractional):
Zn: 0.000 0.228 0.000 (multiplicity 8)
Zn: 0.000 0.353 0.500 (multiplicity 8)
Zn: 0.250 0.250 0.250 (multiplicity 8)
Bi: 0.000 0.000 0.500 (multiplicity 2)

=====

(3)
Compound: CuRhCl2
Source: the Alexandria database
Functional: PBE
Structure: optimized geometry

Summary:
Excess energy over the best structure of this formula in the dataset: 0.337 eV/atom
ΔE_f (raw): 0.63 eV/f.u.
DFT total energy: -43.531 eV per cell

Cell lengths 3.4465, 3.4465, 20.1798 Å; angles 90.00, 90.00, 120.00 degrees
Space group R-3m (No. 166, hexagonal axes)
Symmetry-distinct sites (fractional):
Cu: 0.0000 0.0000 0.0000 (multiplicity 3)
Rh: 0.0000 0.0000 0.5000 (multiplicity 3)
Cl: 0.0000 0.0000 0.2564 (multiplicity 6)

=====

(4)
Compound: BMo3I
Source: the Alexandria database
Functional: PBE
Structure: optimized geometry

Summary:
Excess energy over the best structure of this formula in the dataset: 2.183 eV/atom
ΔE_f (raw): 15.22 eV/f.u.
DFT total energy: -25.505 eV per cell

Cell lengths 4.852, 4.852, 4.852 Å; angles 90.00, 90.00, 90.00 degrees
Space group Pm-3m (No. 221)
Symmetry-distinct sites (fractional):
B: 0.000 0.000 0.000 (multiplicity 1)
Mo: 0.000 0.500 0.500 (multiplicity 3)
I: 0.500 0.500 0.500 (multiplicity 1)

=====

Q: Among the records above, which one has the lowest DFT total energy?
A: Cs2ZnI6N